# 1
# FeCoHg2

FeCoHg2 at its PBEsol-relaxed geometry (SCAN, Alexandria).

The structure in extended XYZ format:
```
16
Lattice="6.3098 0.0000 0.0000 0.0000 6.3098 0.0000 0.0000 0.0000 6.3098" Properties=species:S:1:pos:R:3 pbc="T T T"
Fe 0.0000 0.0000 0.0000
Fe 0.0000 3.1549 3.1549
Fe 3.1549 0.0000 3.1549
Fe 3.1549 3.1549 0.0000
Co 1.5775 1.5775 4.7324
Co 1.5775 4.7324 1.5775
Co 4.7324 1.5775 1.5775
Co 4.7324 4.7324 4.7324
Hg 0.0000 0.0000 3.1549
Hg 0.0000 3.1549 0.0000
Hg 1.5775 1.5775 1.5775
Hg 1.5775 4.7324 4.7324
Hg 3.1549 0.0000 0.0000
Hg 3.1549 3.1549 3.1549
Hg 4.7324 1.5775 4.7324
Hg 4.7324 4.7324 1.5775
```

Its formation energy from the elements is 0.460 eV per atom. As for the space-group type: F-43m (216). The magnetic moment comes out at 20.2 Bohr magnetons per cell. For the density of states at the Fermi level, the calculation gives 11.545 states/eV per cell.

=====

# 2
# FeCo2Hg

FeCo2Hg at its PBEsol-relaxed geometry (SCAN, Alexandria).

The structure in extended XYZ format:
```
4
Lattice="2.8767 0.0000 0.0000 0.0000 2.8767 0.0000 0.0000 0.0000 6.2288" Properties=species:S:1:pos:R:3 pbc="T T T"
Fe 0.0000 0.0000 0.0000
Co 1.4383 1.4383 1.2866
Co 1.4383 1.4383 4.9422
Hg 0.0000 0.0000 3.1144
```

Its formation energy from the elements is 0.152 eV per atom. As for the space-group type: P4/mmm (123). The magnetic moment comes out at 5.9 Bohr magnetons per cell. For the density of states at the Fermi level, the calculation gives 2.839 states/eV per cell.

=====

# 3
# FeCoHg2

FeCoHg2 at its PBEsol-relaxed geometry (SCAN, Alexandria).

The structure in extended XYZ format:
```
4
Lattice="3.0848 0.0000 0.0000 0.0000 3.0848 0.0000 0.0000 0.0000 6.3817" Properties=species:S:1:pos:R:3 pbc="T T T"
Fe 0.0000 0.0000 0.0000
Co 0.0000 0.0000 3.1908
Hg 1.5424 1.5424 1.6367
Hg 1.5424 1.5424 4.7450
```

Its formation energy from the elements is 0.436 eV per atom. As for the space-group type: P4/mmm (123). The magnetic moment comes out at 4.6 Bohr magnetons per cell. For the density of states at the Fermi level, the calculation gives 2.599 states/eV per cell.

=====

# 4
# FeCo2Hg

FeCo2Hg at its PBEsol-relaxed geometry (SCAN, Alexandria).

The structure in extended XYZ format:
```
4
Lattice="2.8096 0.0000 0.0000 0.0000 2.8096 0.0000 0.0000 0.0000 6.6103" Properties=species:S:1:pos:R:3 pbc="T T T"
Fe 0.0000 0.0000 0.0000
Co 0.0000 0.0000 3.9228
Co 1.4048 1.4048 5.2227
Hg 1.4048 1.4048 1.9955
```

Its formation energy from the elements is 0.208 eV per atom. As for the space-group type: P4mm (99). The magnetic moment comes out at 6.5 Bohr magnetons per cell. For the density of states at the Fermi level, the calculation gives 2.205 states/eV per cell.

=====

# 5
# FeCo2Hg

FeCo2Hg at its PBEsol-relaxed geometry (SCAN, Alexandria).

The structure in extended XYZ format:
```
12
Lattice="2.7483 0.0000 0.0000 -1.3741 2.3801 0.0000 0.0000 0.0000 24.4303" Properties=species:S:1:pos:R:3 pbc="T T T"
Fe 0.0000 0.0000 0.0000
Fe 0.0000 1.5867 16.2869
Fe 1.3741 0.7934 8.1434
Co 0.0000 0.0000 6.3656
Co 0.0000 0.0000 18.0646
Co 0.0000 1.5867 9.9212
Co 0.0000 1.5867 22.6525
Co 1.3741 0.7934 1.7778
Co 1.3741 0.7934 14.5091
Hg 0.0000 0.0000 12.2151
Hg 0.0000 1.5867 4.0717
Hg 1.3741 0.7934 20.3585
```

Its formation energy from the elements is 0.342 eV per atom. As for the space-group type: R-3m (166). The magnetic moment comes out at 19.3 Bohr magnetons per cell. For the density of states at the Fermi level, the calculation gives 6.539 states/eV per cell.

=====

# 6
# LiFe2CoHg

LiFe2CoHg at its PBEsol-relaxed geometry (SCAN, Alexandria).

The structure in extended XYZ format:
```
5
Lattice="4.0328 0.0000 0.0000 0.0000 4.0328 0.0000 0.0000 0.0000 3.9809" Properties=species:S:1:pos:R:3 pbc="T T T"
Li 0.0000 0.0000 0.0000
Fe 0.0000 2.0164 0.0000
Fe 2.0164 0.0000 0.0000
Co 0.0000 0.0000 1.9905
Hg 2.0164 2.0164 1.9905
```

Its formation energy from the elements is 0.908 eV per atom. As for the space-group type: P4/mmm (123). The magnetic moment comes out at 7.0 Bohr magnetons per cell. For the density of states at the Fermi level, the calculation gives 2.266 states/eV per cell.

=====

- Which of these has the lowest magnetic moment?
  number 3

=====

- The highest formation energy from the elements belongs to which entry?
  LiFe2CoHg

=====

Copy entry 3 word for word.
# FeCoHg2

FeCoHg2 at its PBEsol-relaxed geometry (SCAN, Alexandria).

The structure in extended XYZ format:
```
4
Lattice="3.0848 0.0000 0.0000 0.0000 3.0848 0.0000 0.0000 0.0000 6.3817" Properties=species:S:1:pos:R:3 pbc="T T T"
Fe 0.0000 0.0000 0.0000
Co 0.0000 0.0000 3.1908
Hg 1.5424 1.5424 1.6367
Hg 1.5424 1.5424 4.7450
```

Its formation energy from the elements is 0.436 eV per atom. As for the space-group type: P4/mmm (123). The magnetic moment comes out at 4.6 Bohr magnetons per cell. For the density of states at the Fermi level, the calculation gives 2.599 states/eV per cell.

=====

- Which of these has the lowest formation energy from the elements?
  number 2